1.
DFT (GGA-PBEsol) results for a geometry-optimized Tb3Pm structure.

The value obtained for the electronic total energy is -5.02 eV/atom. Its calculated formation energy is 22.1 meV per atom. The offset from the most stable computed form comes out at 11 meV per atom.

It has space group P6_3/mmc (No. 194), with a = 7.1074 Å, b = 7.1074 Å, c = 5.6320 Å, α = 90.00°, β = 90.00° and γ = 120.00°. The distinct sites, in fractional coordinates, are Tb at (0.1665, 0.3330, 0.2500) and Pm at (0.3333, 0.6667, 0.7500).

***

2.
DFT (GGA-PBEsol) results for a geometry-optimized TbPm3 structure.

The value obtained for the electronic total energy is -5.08 eV/atom. Its calculated formation energy is 27.5 meV per atom.

It has space group P6_3/mmc (No. 194), with a = 7.1518 Å, b = 7.1518 Å, c = 5.7376 Å, α = 90.00°, β = 90.00° and γ = 120.00°. The distinct sites, in fractional coordinates, are Tb at (0.3333, 0.6667, 0.2500) and Pm at (0.1668, 0.3336, 0.7500).

***

3.
DFT (GGA-PBEsol) results for a geometry-optimized PmTl3 structure.

The value obtained for the electronic total energy is -3.62 eV/atom. Its calculated formation energy is -367.0 meV per atom.

It has space group Pm-3m (No. 221), with a = 4.7044 Å, b = 4.7044 Å, c = 4.7044 Å, α = 90.00°, β = 90.00° and γ = 90.00°. The distinct sites, in fractional coordinates, are Pm at (0.0000, 0.0000, 0.0000) and Tl at (0.0000, 0.5000, 0.5000).

***

4.
DFT (GGA-PBEsol) results for a geometry-optimized PmYTl2 structure.

The value obtained for the electronic total energy is -4.76 eV/atom. Its calculated formation energy is -457.9 meV per atom.

It has space group Fm-3m (No. 225), with a = 7.5385 Å, b = 7.5385 Å, c = 7.5385 Å, α = 90.00°, β = 90.00° and γ = 90.00°. The distinct sites, in fractional coordinates, are Pm at (0.0000, 0.0000, 0.0000), Y at (0.0000, 0.0000, 0.5000) and Tl at (0.2500, 0.2500, 0.2500).